Density functional theory data (SCAN) for a PBEsol-optimized structure of HfAl2CrRu.

Cell: 4.6455 4.6455 4.8198 Å, 90.00 90.00 90.00°
Fractional positions:
Hf1 0.0000 0.0000 0.0000
Al1 0.0000 0.5000 0.5000
Al2 0.5000 0.0000 0.5000
Cr1 0.5000 0.5000 0.0000
Ru1 0.0000 0.0000 0.5000

E_form: 0.167 eV per atom
electronic total energy: -130.55 eV/cell
DOS at the Fermi energy: 2.00 states/eV/cell